# 1
Entry from the Alexandria database: a relaxed structure of CaCo2Os (PBE-GGA).

Structure (POSCAR):
```
CaCo2Os
1.0
-1.775 1.722 -4.429
-3.786 -2.632 -2.115
1.009 1.962 4.568
Os Co Ca
1 2 1
Direct
0.500 0.500 0.000
0.250 0.750 0.500
0.000 0.000 0.000
0.750 0.250 0.500
```

Values from the calculation:
Energy above the lowest structure with this stoichiometry in meV per atom: 359.4

***

# 2
Entry from the Alexandria database: a relaxed structure of Mg2ZrBr (PBE-GGA).

Structure (POSCAR):
```
Mg2ZrBr
1.0
0.074 -0.928 -3.150
1.718 -2.674 0.830
-8.108 -4.827 1.232
Mg Zr Br
2 1 1
Direct
0.000 0.000 0.055
0.500 0.500 0.272
0.000 0.000 0.495
0.500 0.500 0.678
```

Values from the calculation:
Energy above the lowest structure with this stoichiometry in meV per atom: 41.0
ΔE_f (raw) in eV/atom: -0.2384

***

# 3
Entry from the Alexandria database: a relaxed structure of KCdCu2As (PBE-GGA).

Structure (POSCAR):
```
KCdCu2As
1.0
5.023 0.000 0.000
0.000 5.686 0.000
0.000 0.000 5.023
Cu K As Cd
2 1 1 1
Direct
0.500 0.000 0.000
0.000 0.000 0.500
0.000 0.000 0.000
0.000 0.500 0.000
0.500 0.500 0.500
```

Values from the calculation:
DFT total energy in eV for the cell shown: -7.53

***

# 4
Entry from the Alexandria database: a relaxed structure of Mo3Ru2 (PBE-GGA).

Structure (POSCAR):
```
Mo3Ru2
1.0
9.604 0.000 0.000
0.000 9.604 0.000
0.000 0.000 4.962
Mo Ru
18 12
Direct
0.821 0.179 0.251
0.321 0.321 0.249
0.963 0.633 0.500
0.821 0.179 0.749
0.537 0.133 0.000
0.000 0.000 0.000
0.500 0.500 0.500
0.633 0.963 0.500
0.321 0.321 0.751
0.179 0.821 0.251
0.133 0.537 0.000
0.463 0.867 0.000
0.179 0.821 0.749
0.679 0.679 0.751
0.679 0.679 0.249
0.037 0.367 0.500
0.367 0.037 0.500
0.867 0.463 0.000
0.571 0.233 0.500
0.767 0.429 0.500
0.103 0.103 0.500
0.267 0.071 0.000
0.429 0.767 0.500
0.397 0.603 0.000
0.233 0.571 0.500
0.897 0.897 0.500
0.929 0.733 0.000
0.603 0.397 0.000
0.733 0.929 0.000
0.071 0.267 0.000
```

Values from the calculation:
Energy above the lowest structure with this stoichiometry in meV per atom: 24.1

***

# 5
Entry from the Alexandria database: a relaxed structure of Ca2Cd12Ag3Sn (PBE-GGA).

Structure (POSCAR):
```
Ca2Cd12Ag3Sn
1.0
-4.583 -0.947 -10.461
-4.572 -7.426 -7.435
-9.600 -2.661 -5.664
Cd Ag Ca Sn
12 3 2 1
Direct
0.124 0.572 0.124
0.414 0.414 0.814
0.414 0.814 0.414
0.876 0.876 0.428
0.124 0.124 0.572
0.814 0.414 0.414
0.572 0.124 0.124
0.876 0.428 0.876
0.586 0.586 0.186
0.186 0.586 0.586
0.586 0.186 0.586
0.428 0.876 0.876
0.000 0.000 0.500
0.000 0.500 0.000
0.500 0.000 0.000
0.362 0.362 0.362
0.638 0.638 0.638
0.000 0.000 0.000
```

Values from the calculation:
DFT total energy in eV for the cell shown: -27.55

***

# 6
Entry from the Alexandria database: a relaxed structure of LiCrFe (PBE-GGA).

Structure (POSCAR):
```
LiCrFe
1.0
-0.605 1.235 2.003
2.402 -2.261 2.120
5.870 4.897 -1.427
Fe Li Cr
2 2 2
Direct
0.582 0.000 0.320
0.768 0.000 0.632
0.948 0.500 0.127
0.463 0.000 0.955
0.274 0.500 0.454
0.093 0.500 0.747
```

Values from the calculation:
Energy above the lowest structure with this stoichiometry in meV per atom: 140.3

***

# 7
Entry from the Alexandria database: a relaxed structure of Cu2Te (PBE-GGA).

Structure (POSCAR):
```
Cu2Te
1.0
-2.661 2.572 1.016
-1.487 -0.143 -3.535
-2.339 -2.854 1.099
Cu Te
2 1
Direct
0.500 0.000 0.500
0.000 0.500 0.500
0.000 0.000 0.000
```

Values from the calculation:
ΔE_f (raw) in eV/atom: 0.1821

***

# 8
Entry from the Alexandria database: a relaxed structure of CaEuDyTl (PBE-GGA).

Structure (POSCAR):
```
CaEuDyTl
1.0
-4.576 -2.457 2.223
-2.377 -4.418 -2.598
0.386 -5.158 2.274
Tl Ca Dy Eu
1 1 1 1
Direct
0.000 0.000 0.000
0.500 0.500 0.500
0.250 0.250 0.250
0.750 0.750 0.750
```

Values from the calculation:
DFT total energy in eV for the cell shown: -19.57